{
  "formula": "MgZr8",
  "functional": "PBEsol",
  "state": "optimized geometry",
  "lattice": [[4.263, 0.000, 0.000], [2.131, 6.833, 0.000], [2.131, 0.000, 6.833]],
  "species": ["Zr", "Zr", "Zr", "Zr", "Zr", "Zr", "Zr", "Zr", "Mg"],
  "fractional_positions": [[0.334, 0.666, 0.666], [0.331, 0.338, 0.000], [0.331, 0.000, 0.338], [0.000, 0.334, 0.666], [0.669, 0.662, 0.000], [0.669, 0.000, 0.662], [0.000, 0.666, 0.334], [0.666, 0.334, 0.334], [0.000, 0.000, 0.000]],
  "final_energy_ev_per_atom": -8.2349,
  "formation_energy_ev_per_atom": 0.0357,
  "dos_ef_per_ev_atom": 1.183
}

{
  "formula": "MgZr",
  "functional": "PBEsol",
  "state": "optimized geometry",
  "lattice": [[-1.225, -2.072, -2.061], [2.423, -0.855, 1.855], [-6.672, -3.240, 7.223]],
  "species": ["Mg", "Mg", "Zr", "Zr"],
  "fractional_positions": [[0.667, 0.333, 0.626], [0.333, 0.667, 0.374], [0.333, 0.667, 0.880], [0.667, 0.333, 0.120]],
  "final_energy_ev_per_atom": -5.3703,
  "formation_energy_ev_per_atom": 0.0331,
  "dos_ef_per_ev_atom": 0.718
}

{
  "formula": "MgZr5",
  "functional": "PBEsol",
  "state": "optimized geometry",
  "lattice": [[-1.449, 0.412, 4.128], [3.371, -2.534, 1.436], [5.474, 4.217, 1.500]],
  "species": ["Zr", "Zr", "Zr", "Zr", "Zr", "Mg"],
  "fractional_positions": [[0.500, 0.665, 0.669], [0.000, 0.833, 0.334], [0.000, 0.167, 0.666], [0.500, 0.000, 0.000], [0.500, 0.335, 0.331], [0.000, 0.500, 0.000]],
  "final_energy_ev_per_atom": -7.8260,
  "formation_energy_ev_per_atom": 0.0350,
  "dos_ef_per_ev_atom": 1.074
}

{
  "formula": "MgZr",
  "functional": "PBEsol",
  "state": "optimized geometry",
  "lattice": [[-1.938, 2.255, 0.575], [-2.730, 0.021, -1.310], [-3.593, -2.063, 3.954]],
  "species": ["Mg", "Zr"],
  "fractional_positions": [[0.000, 0.000, 0.000], [0.500, 0.500, 0.500]],
  "final_energy_ev_per_atom": -5.3373,
  "formation_energy_ev_per_atom": 0.0661,
  "dos_ef_per_ev_atom": 0.520
}

{
  "formula": "MgZr3",
  "functional": "PBEsol",
  "state": "optimized geometry",
  "lattice": [[-1.612, 2.502, 0.944], [-2.276, -1.863, 1.050], [4.119, -0.430, 8.170]],
  "species": ["Zr", "Zr", "Zr", "Mg"],
  "fractional_positions": [[0.500, 0.500, 0.500], [0.000, 0.000, 0.258], [0.000, 0.000, 0.742], [0.500, 0.500, 0.000]],
  "final_energy_ev_per_atom": -7.2270,
  "formation_energy_ev_per_atom": 0.0196,
  "dos_ef_per_ev_atom": 0.905
}

{
  "formula": "MgZr3",
  "functional": "PBEsol",
  "state": "optimized geometry",
  "lattice": [[4.419, 0.000, 0.000], [0.000, 4.419, 0.000], [0.000, 0.000, 4.419]],
  "species": ["Zr", "Zr", "Zr", "Mg"],
  "fractional_positions": [[0.000, 0.500, 0.000], [0.500, 0.000, 0.000], [0.000, 0.000, 0.500], [0.500, 0.500, 0.500]],
  "final_energy_ev_per_atom": -7.2192,
  "formation_energy_ev_per_atom": 0.0274,
  "dos_ef_per_ev_atom": 1.177
}

{
  "formula": "Mn",
  "functional": "PBEsol",
  "state": "optimized geometry",
  "lattice": [[-0.532, -1.455, -4.236], [3.418, -2.218, 1.934], [-3.788, -0.747, 2.333]],
  "species": ["Mn", "Mn", "Mn", "Mn", "Mn"],
  "fractional_positions": [[0.500, 0.500, 0.500], [0.000, 0.500, 0.000], [0.500, 0.000, 0.000], [0.000, 0.000, 0.000], [0.000, 0.000, 0.500]],
  "final_energy_ev_per_atom": -8.6209,
  "polymorph_energy_mev_per_atom": 1140,
  "formation_energy_ev_per_atom": 1.1402,
  "dos_ef_per_ev_atom": 1.443
}

{
  "formula": "Mn",
  "functional": "PBEsol",
  "state": "optimized geometry",
  "lattice": [[2.421, 0.000, 0.000], [0.000, 3.852, 0.000], [0.000, -1.926, 3.336]],
  "species": ["Mn", "Mn", "Mn"],
  "fractional_positions": [[0.500, 0.667, 0.333], [0.500, 0.333, 0.667], [0.000, 0.000, 0.000]],
  "final_energy_ev_per_atom": -9.6609,
  "polymorph_energy_mev_per_atom": 100,
  "formation_energy_ev_per_atom": 0.1002,
  "dos_ef_per_ev_atom": 1.190
}